--- A ---
Material: FeAgPd2
Method: DFT, PBE
State: optimized geometry

POSCAR file:
```
FeAgPd2
1.0
-0.945 -0.507 -2.603
1.240 -1.964 -1.590
-5.502 -6.973 1.833
Pd Ag Fe
2 1 1
Direct
0.744 0.744 0.769
0.256 0.256 0.231
0.500 0.500 0.500
0.000 0.000 0.000
```

Summary:
For the density of states at the Fermi level, the calculation gives 0.79 states/eV/atom.

=====

--- B ---
Material: FeAgPd2
Method: DFT, PBE
State: optimized geometry

POSCAR file:
```
FeAgPd2
1.0
-3.648 5.735 -1.915
-3.132 0.120 6.328
-1.409 4.505 3.157
Pd Ag Fe
4 2 2
Direct
0.593 0.125 0.250
0.157 0.625 0.250
0.375 0.407 0.750
0.875 0.843 0.750
0.000 0.000 0.000
0.750 0.250 0.500
0.500 0.500 0.000
0.250 0.750 0.500
```

Summary:
For the density of states at the Fermi level, the calculation gives 0.63 states/eV/atom.

=====

--- C ---
Material: FeAgPd2
Method: DFT, PBE
State: optimized geometry

POSCAR file:
```
FeAgPd2
1.0
4.435 0.000 0.000
2.218 3.841 0.000
2.218 1.280 3.621
Pd Ag Fe
2 1 1
Direct
0.250 0.250 0.250
0.750 0.750 0.750
0.000 0.000 0.000
0.500 0.500 0.500
```

Summary:
For the density of states at the Fermi level, the calculation gives 0.87 states/eV/atom.

=====

Least stable structure among those shown: B.